Below is a relaxed LaMnMo2 crystal, with properties calculated at the PBE level.

Summary:
Symmetry: No. 71
Formation energy from the elements: 0.62 eV per atom
Calculated density: 8.759 g/cm3

```
data_LaMnMo2
_cell_length_a 5.700
_cell_length_b 5.700
_cell_length_c 5.700
_cell_angle_alpha 149.86
_cell_angle_beta 127.50
_cell_angle_gamma 61.73
_symmetry_space_group_name_H-M 'P 1'
_symmetry_Int_Tables_number 1
loop_
_symmetry_equiv_pos_as_xyz
'x,y,z'
loop_
_atom_site_label
_atom_site_fract_x
_atom_site_fract_y
_atom_site_fract_z
Mn1 0.250 0.750 0.500
Mo1 0.456 0.456 0.000
Mo2 0.044 0.044 0.000
La1 0.750 0.250 0.500
```